(1)
## YRe2Si (PBE-GGA)

Data for a geometry-optimized YRe2Si structure.

Output
Symmetry = Cmmm, No. 65

Unit cell a=2.921 b=2.921 c=8.487 alpha=90.00 beta=90.00 gamma=111.85
Fractional coordinates of all 4 atoms:
Y1 0.000 0.000 0.000
Re1 0.500 0.500 0.288
Re2 0.500 0.500 0.712
Si1 0.000 0.000 0.500

(2)
## Tb3Ni3Bi4 (PBE-GGA)

Data for a geometry-optimized Tb3Ni3Bi4 structure.

Output
Symmetry = I-43d, No. 220
ΔE_f = -0.561 eV/atom

Unit cell a=8.428 b=8.428 c=8.428 alpha=109.47 beta=109.47 gamma=109.47
Fractional coordinates of all 20 atoms:
Tb1 0.125 0.750 0.875
Tb2 0.250 0.625 0.375
Tb3 0.375 0.250 0.625
Tb4 0.625 0.375 0.250
Tb5 0.750 0.875 0.125
Tb6 0.875 0.125 0.750
Ni1 0.125 0.875 0.250
Ni2 0.250 0.125 0.875
Ni3 0.375 0.625 0.750
Ni4 0.625 0.750 0.375
Ni5 0.750 0.375 0.625
Ni6 0.875 0.250 0.125
Bi1 0.000 0.350 0.500
Bi2 0.000 0.850 0.500
Bi3 0.150 0.150 0.150
Bi4 0.350 0.500 0.000
Bi5 0.500 0.000 0.350
Bi6 0.500 0.000 0.850
Bi7 0.650 0.650 0.650
Bi8 0.850 0.500 0.000

(3)
## LaDyOs (PBE-GGA)

Data for a geometry-optimized LaDyOs structure.

Output
Symmetry = F-43m, No. 216
ΔE_f = -0.148 eV/atom
Polymorph energy (0 for the lowest one) = 0 meV/atom

Unit cell a=4.882 b=4.882 c=4.882 alpha=60.00 beta=60.00 gamma=60.00
Fractional coordinates of all 3 atoms:
La1 0.000 0.000 0.000
Dy1 0.500 0.500 0.500
Os1 0.750 0.750 0.750

Number 1: raw total energy -8.931 eV per atom. Number 2: raw total energy -5.237 eV per atom. Number 3: raw total energy -7.068 eV per atom.